Entry 1:
Entry from Alexandria via LeMat-Bulk: MgRu3 after structural relaxation (GGA-PBE).

Cell lengths 2.7770, 2.7770, 7.6644 Å; angles 90.00, 90.00, 90.00 degrees
With the nearest neighbours (Å) after each atom.
Element x y z (fractional)
Mg  0.0000  0.0000  0.0000  4 Mg 2.78, 8 Ru 2.83
Ru  0.0000  0.0000  0.5000  12 Ru 2.66-2.78
Ru  0.5000  0.5000  0.2658  8 Ru 2.66-2.78, 4 Mg 2.83
Ru  0.5000  0.5000  0.7342  8 Ru 2.66-2.78, 4 Mg 2.83

Summary:
SG: P4/mmm (123)
Energy of formation (meV/atom): 134.1



Entry 2:
Entry from Alexandria via LeMat-Bulk: Mg3Ru after structural relaxation (GGA-PBE).

Cell lengths 2.8852, 4.5226, 5.6148 Å; angles 90.00, 102.42, 90.00 degrees
With the nearest neighbours (Å) after each atom.
Element x y z (fractional)
Mg  0.0000  0.0000  0.0000  2 Ru 2.87, 6 Mg 2.89-2.93
Mg  0.2739  0.5000  0.7272  5 Mg 2.70-2.93, 2 Ru 2.74
Mg  0.7261  0.5000  0.2728  5 Mg 2.70-2.93, 2 Ru 2.74
Ru  0.5000  0.0000  0.5000  6 Mg 2.74-2.87, 2 Ru 2.89

Summary:
SG: P2/m (10)
Energy of formation (meV/atom): 71.7



Entry 3:
Entry from Alexandria via LeMat-Bulk: MgRu after structural relaxation (GGA-PBE).

Cell lengths 7.2738, 7.2738, 7.2738 Å; angles 90.00, 90.00, 90.00 degrees
With the nearest neighbours (Å) after each atom.
Element x y z (fractional)
Mg  0.0000  0.2500  0.5000  4 Ru 2.57
Mg  0.0000  0.7500  0.5000  4 Ru 2.57
Mg  0.2500  0.5000  0.0000  4 Ru 2.57
Mg  0.5000  0.0000  0.2500  4 Ru 2.57
Mg  0.5000  0.0000  0.7500  4 Ru 2.57
Mg  0.7500  0.5000  0.0000  4 Ru 2.57
Ru  0.0000  0.5000  0.2500  4 Mg 2.57
Ru  0.0000  0.5000  0.7500  4 Mg 2.57
Ru  0.2500  0.0000  0.5000  4 Mg 2.57
Ru  0.5000  0.2500  0.0000  4 Mg 2.57
Ru  0.5000  0.7500  0.0000  4 Mg 2.57
Ru  0.7500  0.0000  0.5000  4 Mg 2.57

Summary:
SG: Pm-3n (223)
Energy of formation (meV/atom): 1951.3



Entry 4:
Entry from Alexandria via LeMat-Bulk: MgRu after structural relaxation (GGA-PBE).

Cell lengths 2.8669, 14.2620, 4.7257 Å; angles 90.00, 90.00, 90.00 degrees
With the nearest neighbours (Å) after each atom.
Element x y z (fractional)
Mg  0.0000  0.0000  0.0000  6 Ru 2.70-2.82, 2 Mg 2.87
Mg  0.0000  0.5000  0.5000  6 Ru 2.70-2.82, 2 Mg 2.87
Mg  0.5000  0.1842  0.8742  7 Ru 2.80-3.13, 6 Mg 2.87-3.05
Mg  0.5000  0.3158  0.3742  7 Ru 2.80-3.13, 6 Mg 2.87-3.05
Mg  0.5000  0.6842  0.3742  7 Ru 2.80-3.13, 6 Mg 2.87-3.05
Mg  0.5000  0.8158  0.8742  7 Ru 2.80-3.13, 6 Mg 2.87-3.05
Ru  0.0000  0.1454  0.3793  4 Ru 2.60-2.87, 7 Mg 2.74-2.84
Ru  0.0000  0.3546  0.8793  4 Ru 2.60-2.87, 7 Mg 2.74-2.84
Ru  0.0000  0.6454  0.8793  4 Ru 2.60-2.87, 7 Mg 2.74-2.84
Ru  0.0000  0.8546  0.3793  4 Ru 2.60-2.87, 7 Mg 2.74-2.84
Ru  0.5000  0.0000  0.5147  6 Ru 2.60-2.87, 4 Mg 2.70-2.82
Ru  0.5000  0.5000  0.0147  6 Ru 2.60-2.87, 4 Mg 2.70-2.82

Summary:
SG: Amm2 (38)
Energy of formation (meV/atom): 70.2



Entry 5:
Entry from Alexandria via LeMat-Bulk: MgRu after structural relaxation (GGA-PBE).

Cell lengths 2.8485, 2.8485, 8.8210 Å; angles 90.00, 90.00, 120.00 degrees
With the nearest neighbours (Å) after each atom.
Element x y z (fractional)
Mg  0.0000  0.0000  0.0000  6 Ru 2.75, 6 Mg 2.85
Mg  0.0000  0.0000  0.5000  6 Ru 2.75, 6 Mg 2.85
Ru  0.3333  0.6667  0.2500  6 Mg 2.75, 6 Ru 2.85
Ru  0.6667  0.3333  0.7500  6 Mg 2.75, 6 Ru 2.85

Summary:
SG: P6_3/mmc (194)
Energy of formation (meV/atom): 153.6



Entry 6:
Entry from Alexandria via LeMat-Bulk: MgRu3 after structural relaxation (GGA-PBE).

Cell lengths 2.7629, 2.7629, 26.7467 Å; angles 90.00, 90.00, 120.00 degrees
With the nearest neighbours (Å) after each atom.
Element x y z (fractional)
Mg  0.0000  0.0000  0.0000  6 Mg 2.76, 6 Ru 2.82
Mg  0.3333  0.6667  0.6667  6 Mg 2.76, 6 Ru 2.82
Mg  0.6667  0.3333  0.3333  6 Mg 2.76, 6 Ru 2.82
Ru  0.0000  0.0000  0.2464  9 Ru 2.66-2.76, 3 Mg 2.82
Ru  0.0000  0.0000  0.5000  12 Ru 2.66-2.76
Ru  0.0000  0.0000  0.7536  9 Ru 2.66-2.76, 3 Mg 2.82
Ru  0.3333  0.6667  0.1667  12 Ru 2.66-2.76
Ru  0.3333  0.6667  0.4203  9 Ru 2.66-2.76, 3 Mg 2.82
Ru  0.3333  0.6667  0.9131  9 Ru 2.66-2.76, 3 Mg 2.82
Ru  0.6667  0.3333  0.0869  9 Ru 2.66-2.76, 3 Mg 2.82
Ru  0.6667  0.3333  0.5797  9 Ru 2.66-2.76, 3 Mg 2.82
Ru  0.6667  0.3333  0.8333  12 Ru 2.66-2.76

Summary:
SG: R-3m (166)
Energy of formation (meV/atom): 163.0